{
  "formula": "V2CdSiO6",
  "functional": "PBE+U",
  "state": "relaxed",
  "lattice_angstrom": [[5.185, 0.000, 0.000], [0.000, 4.951, 0.000], [0.000, 0.000, 4.951]],
  "species": ["O", "O", "O", "O", "O", "O", "Cd", "V", "V", "Si"],
  "frac_coords": [[0.111, 0.500, 0.500], [0.752, 0.768, 0.768], [0.752, 0.232, 0.768], [0.752, 0.768, 0.232], [0.752, 0.232, 0.232], [0.306, 0.000, 0.000], [0.504, 0.500, 0.500], [0.949, 0.500, 0.000], [0.949, 0.000, 0.500], [0.622, 0.000, 0.000]],
  "total_energy_ev_per_atom": -6.741,
  "rho_g_cm3": 4.42,
  "space_group": "P4mm (99)"
}